First-principles (PBE) data for a geometry-optimized Er6Tm12In structure, as listed in the Alexandria database.

Cell lengths 8.3307, 8.3307, 8.3307 Å; angles 88.77, 88.77, 88.77 degrees
Sites, in units of the cell vectors:
Tm: 0.6376 0.9882 0.8149
Tm: 0.4346 0.7793 0.5394
Er: 0.0952 0.7033 0.2589
Er: 0.7411 0.9048 0.2967
In: 0.0000 0.0000 0.0000
Tm: 0.2207 0.4606 0.5654
Er: 0.2589 0.0952 0.7033
Tm: 0.5394 0.4346 0.7793
Tm: 0.8149 0.6376 0.9882
Tm: 0.1851 0.3624 0.0118
Tm: 0.4606 0.5654 0.2207
Tm: 0.5654 0.2207 0.4606
Tm: 0.0118 0.1851 0.3624
Tm: 0.7793 0.5394 0.4346
Tm: 0.3624 0.0118 0.1851
Er: 0.2967 0.7411 0.9048
Tm: 0.9882 0.8149 0.6376
Er: 0.7033 0.2589 0.0952
Er: 0.9048 0.2967 0.7411

Summary:
- Electronic total energy: -4.3285 eV per atom
- Mass density: 9.04 g/cm³
- ΔH_f (0 K): 81 meV/atom
- Crystal system: trigonal

***

First-principles (PBE) data for a geometry-optimized Er5Tm4In2 structure, as listed in the Alexandria database.

Cell lengths 3.4210, 7.9677, 12.2746 Å; angles 90.50, 98.01, 90.00 degrees
Sites, in units of the cell vectors:
Tm: 0.0888 0.2634 0.1776
In: 0.3469 0.4377 0.6938
In: 0.6531 0.5623 0.3062
Er: 0.1621 0.9030 0.3243
Tm: 0.9556 0.3402 0.9113
Tm: 0.9112 0.7366 0.8224
Er: 0.8379 0.0970 0.6757
Er: 0.7748 0.7000 0.5495
Er: 0.2252 0.3000 0.4505
Tm: 0.0444 0.6598 0.0887
Er: 0.5000 0.0000 0.0000

Summary:
- Electronic total energy: -4.1546 eV per atom
- Mass density: 8.73 g/cm³
- ΔH_f (0 K): 43 meV/atom
- Crystal system: monoclinic

***

First-principles (PBE) data for a geometry-optimized Er2TmIn2 structure, as listed in the Alexandria database.

Cell lengths 5.2937, 6.4480, 8.3880 Å; angles 90.00, 108.39, 90.00 degrees
Sites, in units of the cell vectors:
Tm: 0.5993 0.5795 0.1986
In: 0.7864 0.8570 0.5729
In: 0.4003 0.5650 0.8006
In: 0.2136 0.3570 0.4271
Tm: 0.4007 0.0795 0.8014
Er: 0.1960 0.8462 0.3920
Er: 0.8040 0.3462 0.6080
Er: 0.9753 0.7867 0.9505
In: 0.5997 0.0650 0.1994
Er: 0.0247 0.2867 0.0495

Summary:
- Electronic total energy: -4.1225 eV per atom
- Mass density: 8.96 g/cm³
- Energy above the lowest structure with this stoichiometry: 28 kJ/mol of formula units
- ΔH_f (0 K): -308 meV/atom
- Crystal system: orthorhombic

***

First-principles (PBE) data for a geometry-optimized ErTm5In4 structure, as listed in the Alexandria database.

Cell lengths 3.5292, 3.5292, 21.4197 Å; angles 90.00, 90.00, 90.00 degrees
Sites, in units of the cell vectors:
In: 0.0000 0.0000 0.7903
Tm: 0.5000 0.5000 0.8871
In: 0.0000 0.0000 0.2097
Tm: 0.5000 0.5000 0.3060
Er: 0.0000 0.0000 0.0000
Tm: 0.5000 0.5000 0.5000
Tm: 0.5000 0.5000 0.6940
In: 0.0000 0.0000 0.5969
In: 0.0000 0.0000 0.4031
Tm: 0.5000 0.5000 0.1129

Summary:
- Electronic total energy: -4.1397 eV per atom
- Mass density: 9.16 g/cm³
- ΔH_f (0 K): -352 meV/atom
- Crystal system: tetragonal

***

First-principles (PBE) data for a geometry-optimized Er12TmIn6 structure, as listed in the Alexandria database.

Cell lengths 8.1098, 8.1098, 8.1098 Å; angles 88.63, 88.63, 88.63 degrees
Sites, in units of the cell vectors:
Er: 0.4740 0.5621 0.1942
Tm: 0.0000 0.0000 0.0000
In: 0.8752 0.2555 0.7216
Er: 0.8058 0.5260 0.4379
Er: 0.5260 0.4379 0.8058
Er: 0.9248 0.8701 0.6165
In: 0.2555 0.7216 0.8752
In: 0.7445 0.2784 0.1248
Er: 0.4379 0.8058 0.5260
Er: 0.3835 0.0752 0.1299
Er: 0.1299 0.3835 0.0752
Er: 0.0752 0.1299 0.3835
In: 0.7216 0.8752 0.2555
In: 0.1248 0.7445 0.2784
Er: 0.8701 0.6165 0.9248
Er: 0.1942 0.4740 0.5621
Er: 0.5621 0.1942 0.4740
In: 0.2784 0.1248 0.7445
Er: 0.6165 0.9248 0.8701

Summary:
- Electronic total energy: -4.1764 eV per atom
- Mass density: 8.93 g/cm³
- ΔH_f (0 K): -194 meV/atom
- Crystal system: trigonal

***

First-principles (PBE) data for a geometry-optimized Er3Tm2In2 structure, as listed in the Alexandria database.

Cell lengths 5.3202, 5.3231, 8.4760 Å; angles 108.26, 90.00, 119.98 degrees
Sites, in units of the cell vectors:
In: 0.2163 0.4327 0.1490
Er: 0.6529 0.3059 0.4588
Er: 0.5000 0.0000 0.0000
Tm: 0.9253 0.8507 0.2758
In: 0.7837 0.5673 0.8510
Er: 0.3471 0.6941 0.5412
Tm: 0.0747 0.1493 0.7242

Summary:
- Electronic total energy: -4.2813 eV per atom
- Mass density: 9.16 g/cm³
- Energy above the lowest structure with this stoichiometry: 0 kJ/mol of formula units
- ΔH_f (0 K): -266 meV/atom
- Crystal system: trigonal